# PBE-GGA Mn2HRh, relaxed
# Excess energy over the best structure of this formula in the dataset in eV/f.u.: 0.12
# Symmetry: No. 31
# D(E_F) in states/eV/cell: 5.800
# Spin magnetization in μB/f.u.: 0.90
# Calculated density in Mg/m³: 8.51
data_Mn2HRh
_chemical_formula_sum 'Mn4 H2 Rh2'
_space_group_name_H-M_alt 'P 1'
_space_group_IT_number 1
_cell_length_a 2.9562
_cell_length_b 2.9610
_cell_length_c 9.5359
_cell_angle_alpha 90.00
_cell_angle_beta 90.00
_cell_angle_gamma 90.00
loop_
_space_group_symop_operation_xyz
'x,y,z'
loop_
_atom_site_label
_atom_site_type_symbol
_atom_site_fract_x
_atom_site_fract_y
_atom_site_fract_z
_atom_site_occupancy
Mn1 Mn 0.7498 0.8645 0.7889 1
Mn2 Mn 0.2502 0.3645 0.2111 1
Mn3 Mn 0.7501 0.8636 0.0820 1
Mn4 Mn 0.2499 0.3636 0.9180 1
H1 H 0.2504 0.2528 0.4150 1
H2 H 0.7496 0.7528 0.5850 1
Rh1 Rh 0.2498 0.3647 0.6149 1
Rh2 Rh 0.7502 0.8647 0.3851 1


# PBE-GGA Ca10P6SeO24, relaxed
# Symmetry: No. 147
# D(E_F) in states/eV/cell: 0.000
# Spin magnetization in μB/f.u.: 0.08
# Formation energy (no corrections) in eV per formula unit: -117.4
# Calculated density in Mg/m³: 3.16
data_Ca10P6SeO24
_chemical_formula_sum 'Ca10 P6 Se1 O24'
_space_group_name_H-M_alt 'P 1'
_space_group_IT_number 1
_cell_length_a 9.6039
_cell_length_b 9.6039
_cell_length_c 6.8959
_cell_angle_alpha 90.00
_cell_angle_beta 90.00
_cell_angle_gamma 120.00
loop_
_space_group_symop_operation_xyz
'x,y,z'
loop_
_atom_site_label
_atom_site_type_symbol
_atom_site_fract_x
_atom_site_fract_y
_atom_site_fract_z
_atom_site_occupancy
Ca1 Ca 0.3333 0.6667 0.0197 1
Ca2 Ca 0.6667 0.3333 0.9803 1
Ca3 Ca 0.3333 0.6667 0.5111 1
Ca4 Ca 0.6667 0.3333 0.4889 1
Ca5 Ca 0.7382 0.7491 0.2501 1
Ca6 Ca 0.2509 0.9891 0.2501 1
Ca7 Ca 0.0109 0.2618 0.2501 1
Ca8 Ca 0.2618 0.2509 0.7499 1
Ca9 Ca 0.7491 0.0109 0.7499 1
Ca10 Ca 0.9891 0.7382 0.7499 1
O1 O 0.1573 0.6738 0.2548 1
O2 O 0.3262 0.4835 0.2548 1
O3 O 0.5165 0.8427 0.2548 1
O4 O 0.8427 0.3262 0.7452 1
O5 O 0.6738 0.5165 0.7452 1
O6 O 0.4835 0.1573 0.7452 1
O7 O 0.8848 0.4176 0.1975 1
O8 O 0.5824 0.4673 0.1975 1
O9 O 0.5327 0.1152 0.1975 1
O10 O 0.1152 0.5824 0.8025 1
O11 O 0.4176 0.5327 0.8025 1
O12 O 0.4673 0.8848 0.8025 1
O13 O 0.9307 0.6945 0.0968 1
O14 O 0.3055 0.2362 0.0968 1
O15 O 0.7638 0.0693 0.0968 1
O16 O 0.0693 0.3055 0.9032 1
O17 O 0.6945 0.7638 0.9032 1
O18 O 0.2362 0.9307 0.9032 1
O19 O 0.9016 0.6102 0.4477 1
O20 O 0.3898 0.2914 0.4477 1
O21 O 0.7086 0.0984 0.4477 1
O22 O 0.0984 0.3898 0.5523 1
O23 O 0.6102 0.7086 0.5523 1
O24 O 0.2914 0.9016 0.5523 1
P1 P 0.9718 0.6007 0.2491 1
P2 P 0.3993 0.3711 0.2491 1
P3 P 0.6289 0.0282 0.2491 1
P4 P 0.0282 0.3993 0.7509 1
P5 P 0.6007 0.6289 0.7509 1
P6 P 0.3711 0.9718 0.7509 1
Se1 Se 0.0000 0.0000 0.5000 1


# PBE-GGA KTi2Nb, relaxed
# Formation enthalpy at 0 K in eV/atom: 1.498
# Excess energy over the best structure of this formula in the dataset in eV/f.u.: 1.38
# Symmetry: No. 141
# D(E_F) in states/eV/cell: 3.850
# Spin magnetization in μB/f.u.: 0.00
# Calculated density in Mg/m³: 2.55
data_KTi2Nb
_chemical_formula_sum 'K2 Ti4 Nb2'
_space_group_name_H-M_alt 'P 1'
_space_group_IT_number 1
_cell_length_a 6.7255
_cell_length_b 6.7255
_cell_length_c 8.1046
_cell_angle_alpha 65.49
_cell_angle_beta 65.49
_cell_angle_gamma 90.00
loop_
_space_group_symop_operation_xyz
'x,y,z'
loop_
_atom_site_label
_atom_site_type_symbol
_atom_site_fract_x
_atom_site_fract_y
_atom_site_fract_z
_atom_site_occupancy
Nb1 Nb 0.0000 0.0000 0.0000 1
Nb2 Nb 0.7500 0.2500 0.5000 1
K1 K 0.5000 0.5000 0.0000 1
K2 K 0.2500 0.7500 0.5000 1
Ti1 Ti 0.8754 0.1250 0.2500 1
Ti2 Ti 0.8746 0.6250 0.2500 1
Ti3 Ti 0.3750 0.1246 0.7500 1
Ti4 Ti 0.8750 0.1254 0.7500 1


# PBE-GGA CrHgRu2, relaxed
# Formation enthalpy at 0 K in eV/atom: 0.623
# Symmetry: No. 122
# D(E_F) in states/eV/cell: 2.264
# Spin magnetization in μB/f.u.: 0.00
# Calculated density in Mg/m³: 11.47
data_CrHgRu2
_chemical_formula_sum 'Cr2 Hg2 Ru4'
_space_group_name_H-M_alt 'P 1'
_space_group_IT_number 1
_cell_length_a 6.9736
_cell_length_b 6.9736
_cell_length_c 5.6250
_cell_angle_alpha 51.69
_cell_angle_beta 51.69
_cell_angle_gamma 90.00
loop_
_space_group_symop_operation_xyz
'x,y,z'
loop_
_atom_site_label
_atom_site_type_symbol
_atom_site_fract_x
_atom_site_fract_y
_atom_site_fract_z
_atom_site_occupancy
Ru1 Ru 0.5645 0.1250 0.2500 1
Ru2 Ru 0.1855 0.6250 0.2500 1
Ru3 Ru 0.3750 0.4355 0.7500 1
Ru4 Ru 0.8750 0.8145 0.7500 1
Hg1 Hg 0.0000 0.0000 0.0000 1
Hg2 Hg 0.7500 0.2500 0.5000 1
Cr1 Cr 0.5000 0.5000 0.0000 1
Cr2 Cr 0.2500 0.7500 0.5000 1


# PBE-GGA MgGeP2, relaxed
# Formation enthalpy at 0 K in eV/atom: 0.212
# Excess energy over the best structure of this formula in the dataset in eV/f.u.: 2.09
# Symmetry: No. 225
# D(E_F) in states/eV/cell: 2.061
# Spin magnetization in μB/f.u.: 0.00
# Calculated density in Mg/m³: 3.79
data_MgGeP2
_chemical_formula_sum 'Mg1 Ge1 P2'
_space_group_name_H-M_alt 'P 1'
_space_group_IT_number 1
_cell_length_a 4.6183
_cell_length_b 4.6183
_cell_length_c 4.6183
_cell_angle_alpha 60.00
_cell_angle_beta 60.00
_cell_angle_gamma 60.00
loop_
_space_group_symop_operation_xyz
'x,y,z'
loop_
_atom_site_label
_atom_site_type_symbol
_atom_site_fract_x
_atom_site_fract_y
_atom_site_fract_z
_atom_site_occupancy
P1 P 0.2500 0.2500 0.2500 1
P2 P 0.7500 0.7500 0.7500 1
Ge1 Ge 0.5000 0.5000 0.5000 1
Mg1 Mg 0.0000 0.0000 0.0000 1


# PBE-GGA Tm12Ir2Au5, relaxed
# Formation enthalpy at 0 K in eV/atom: -0.600
# Symmetry: No. 12
# D(E_F) in states/eV/cell: 20.205
# Spin magnetization in μB/f.u.: 0.00
# Calculated density in Mg/m³: 10.81
data_Tm12Ir2Au5
_chemical_formula_sum 'Tm12 Ir2 Au5'
_space_group_name_H-M_alt 'P 1'
_space_group_IT_number 1
_cell_length_a 7.4329
_cell_length_b 8.8674
_cell_length_c 9.0170
_cell_angle_alpha 103.46
_cell_angle_beta 90.00
_cell_angle_gamma 114.78
loop_
_space_group_symop_operation_xyz
'x,y,z'
loop_
_atom_site_label
_atom_site_type_symbol
_atom_site_fract_x
_atom_site_fract_y
_atom_site_fract_z
_atom_site_occupancy
Tm1 Tm 0.9800 0.9601 0.1788 1
Tm2 Tm 0.0918 0.6566 0.8976 1
Tm3 Tm 0.5648 0.6566 0.8976 1
Tm4 Tm 0.1027 0.7107 0.4362 1
Tm5 Tm 0.6080 0.7107 0.4362 1
Tm6 Tm 0.4983 0.9965 0.7484 1
Tm7 Tm 0.5017 0.0035 0.2516 1
Tm8 Tm 0.8973 0.2893 0.5638 1
Tm9 Tm 0.3920 0.2893 0.5638 1
Tm10 Tm 0.9082 0.3434 0.1024 1
Tm11 Tm 0.4352 0.3434 0.1024 1
Tm12 Tm 0.0200 0.0399 0.8212 1
Ir1 Ir 0.7119 0.0000 0.0000 1
Ir2 Ir 0.2881 0.0000 0.0000 1
Au1 Au 0.2931 0.5862 0.6327 1
Au2 Au 0.3116 0.6232 0.1626 1
Au3 Au 0.0000 0.0000 0.5000 1
Au4 Au 0.6884 0.3768 0.8374 1
Au5 Au 0.7069 0.4138 0.3673 1


# PBE-GGA CaSiC2S, relaxed
# Symmetry: No. 123
# D(E_F) in states/eV/cell: 3.325
# Spin magnetization in μB/f.u.: 0.25
# Formation energy (no corrections) in eV per formula unit: 3.7
# Calculated density in Mg/m³: 1.62
data_CaSiC2S
_chemical_formula_sum 'Ca1 Si1 C2 S1'
_space_group_name_H-M_alt 'P 1'
_space_group_IT_number 1
_cell_length_a 3.6880
_cell_length_b 9.3773
_cell_length_c 3.6880
_cell_angle_alpha 90.00
_cell_angle_beta 90.00
_cell_angle_gamma 90.00
loop_
_space_group_symop_operation_xyz
'x,y,z'
loop_
_atom_site_label
_atom_site_type_symbol
_atom_site_fract_x
_atom_site_fract_y
_atom_site_fract_z
_atom_site_occupancy
C1 C 0.0000 0.0000 0.5000 1
C2 C 0.5000 0.0000 0.0000 1
Ca1 Ca 0.0000 0.5000 0.0000 1
Si1 Si 0.0000 0.0000 0.0000 1
S1 S 0.5000 0.5000 0.5000 1


# PBE-GGA Zr3TaIn, relaxed
# Formation enthalpy at 0 K in eV/atom: 0.798
# Excess energy over the best structure of this formula in the dataset in eV/f.u.: 0.00
# Symmetry: No. 221
# D(E_F) in states/eV/cell: 6.482
# Spin magnetization in μB/f.u.: 0.00
# Calculated density in Mg/m³: 6.99
data_Zr3TaIn
_chemical_formula_sum 'Zr3 Ta1 In1'
_space_group_name_H-M_alt 'P 1'
_space_group_IT_number 1
_cell_length_a 5.1331
_cell_length_b 5.1331
_cell_length_c 5.1331
_cell_angle_alpha 90.00
_cell_angle_beta 90.00
_cell_angle_gamma 90.00
loop_
_space_group_symop_operation_xyz
'x,y,z'
loop_
_atom_site_label
_atom_site_type_symbol
_atom_site_fract_x
_atom_site_fract_y
_atom_site_fract_z
_atom_site_occupancy
In1 In 0.5000 0.5000 0.5000 1
Zr1 Zr 0.0000 0.5000 0.0000 1
Zr2 Zr 0.0000 0.0000 0.5000 1
Zr3 Zr 0.5000 0.0000 0.0000 1
Ta1 Ta 0.0000 0.0000 0.0000 1


- D(E_F) of number 4 (CrHgRu2)?
  2.264 states/eV/cell